No. 1
The following is a DFT calculation (PBE) of a relaxed structure of Ac8Ge3SI4.

a = 9.0991 Å, b = 9.0991 Å, c = 24.4713 Å
α = 90.00°, β = 90.00°, γ = 120.00°
Space group R-3m (No. 166, hexagonal axes)
Asymmetric unit:
Ac1 0.0000 0.0000 0.2340
Ac2 0.0065 0.5033 0.2328
Ge1 0.0000 0.5000 0.5000
S1 0.0000 0.0000 0.5000
I1 0.0000 0.0000 0.0000
I2 0.0000 0.5000 0.0000


No. 2
The following is a DFT calculation (PBE) of a relaxed structure of Ac6Ge2SbI3.

a = 20.903 Å, b = 4.696 Å, c = 9.644 Å
α = 90.00°, β = 104.72°, γ = 90.00°
Space group C2/m (No. 12)
Asymmetric unit:
Ac1 0.016 0.000 0.243
Ac2 0.165 0.500 0.121
Ac3 0.177 0.500 0.559
Ge1 0.168 0.000 0.335
Sb1 0.000 0.500 0.000
I1 0.000 0.500 0.500
I2 0.163 0.000 0.832


No. 3
The following is a DFT calculation (PBE) of a relaxed structure of Ac4GeSb2I.

a = 8.170 Å, b = 4.754 Å, c = 8.248 Å
α = 90.00°, β = 109.25°, γ = 90.00°
Space group P2/m (No. 10)
Asymmetric unit:
Ac1 0.243 0.000 0.232
Ac2 0.256 0.500 0.772
Ge1 0.000 0.500 0.000
Sb1 0.500 0.000 0.000
Sb2 0.500 0.500 0.500
I1 0.000 0.000 0.500


No. 4
The following is a DFT calculation (PBE) of a relaxed structure of Ac6Ge2Sb3I.

a = 20.603 Å, b = 4.719 Å, c = 9.531 Å
α = 90.00°, β = 102.88°, γ = 90.00°
Space group C2/m (No. 12)
Asymmetric unit:
Ac1 0.008 0.000 0.270
Ac2 0.171 0.500 0.576
Ac3 0.175 0.500 0.101
Ge1 0.166 0.000 0.330
Sb1 0.000 0.500 0.500
Sb2 0.159 0.000 0.835
I1 0.000 0.500 0.000


No. 5
The following is a DFT calculation (PBE) of a relaxed structure of Ac8Ge3Se4I.

a = 9.1901 Å, b = 9.1901 Å, c = 22.2134 Å
α = 90.00°, β = 90.00°, γ = 120.00°
Space group R-3m (No. 166, hexagonal axes)
Asymmetric unit:
Ac1 0.0000 0.0000 0.2466
Ac2 0.0181 0.5090 0.7505
Ge1 0.0000 0.5000 0.5000
Se1 0.0000 0.0000 0.0000
Se2 0.0000 0.5000 0.0000
I1 0.0000 0.0000 0.5000


No. 6
The following is a DFT calculation (PBE) of a relaxed structure of Ac4GeSeI2.

a = 7.866 Å, b = 4.613 Å, c = 8.448 Å
α = 90.00°, β = 108.68°, γ = 90.00°
Space group P2/m (No. 10)
Asymmetric unit:
Ac1 0.233 0.000 0.203
Ac2 0.263 0.500 0.797
Ge1 0.000 0.500 0.000
Se1 0.500 0.000 0.000
I1 0.000 0.000 0.500
I2 0.500 0.500 0.500


| no. | formation energy without anion corrections (eV per atom) |
| --- | --- |
| 1 | -1.13 |
| 2 | -1.05 |
| 3 | -1.08 |
| 4 | -1.04 |
| 5 | -1.40 |
| 6 | -1.20 |